First-principles (PBE) data for a relaxed structure of NaLaY4S8, as listed in the Alexandria database.

abc: 8.2668 8.2668 8.2668
angles: 58.82 58.82 58.82
Sites, in units of the cell vectors:
Na: 0.0000 0.0000 0.0000
La: 0.6301 0.6301 0.6301
Y: 0.1135 0.6314 0.6314
Y: 0.2529 0.2529 0.2529
Y: 0.6314 0.1135 0.6314
Y: 0.6314 0.6314 0.1135
S: 0.3776 0.3776 0.8568
S: 0.3776 0.8568 0.3776
S: 0.3847 0.3847 0.3847
S: 0.4092 0.8720 0.8720
S: 0.8568 0.3776 0.3776
S: 0.8651 0.8651 0.8651
S: 0.8720 0.4092 0.8720
S: 0.8720 0.8720 0.4092

Calculated values
space-group type	R3m, No. 160
formation energy (no corrections)	-27.52	eV per formula unit

First-principles (PBE) data for a relaxed structure of CdIn4Ga5, as listed in the Alexandria database.

abc: 9.2447 9.2489 5.4293
angles: 90.00 90.00 90.00
Sites, in units of the cell vectors:
Cd: 0.2500 0.2500 0.1970
Cd: 0.7500 0.7500 0.8030
In: 0.0702 0.7500 0.5970
In: 0.2500 0.0668 0.7057
In: 0.2500 0.4332 0.7057
In: 0.4298 0.7500 0.5970
In: 0.5702 0.2500 0.4030
In: 0.7500 0.5668 0.2943
In: 0.7500 0.9332 0.2943
In: 0.9298 0.2500 0.4030
Ga: 0.0817 0.5226 0.2059
Ga: 0.0817 0.9774 0.2059
Ga: 0.2500 0.7500 0.0553
Ga: 0.4183 0.5226 0.2059
Ga: 0.4183 0.9774 0.2059
Ga: 0.5817 0.0226 0.7941
Ga: 0.5817 0.4774 0.7941
Ga: 0.7500 0.2500 0.9447
Ga: 0.9183 0.0226 0.7941
Ga: 0.9183 0.4774 0.7941

Calculated values
space-group type	Pmmn, No. 59
formation enthalpy at 0 K	0.984	kcal/mol of atoms

First-principles (PBE) data for a relaxed structure of Zr3VCl, as listed in the Alexandria database.

abc: 4.9652 4.9652 4.9652
angles: 90.00 90.00 90.00
Sites, in units of the cell vectors:
Zr: 0.0000 0.0000 0.5000
Zr: 0.0000 0.5000 0.0000
Zr: 0.5000 0.0000 0.0000
V: 0.0000 0.0000 0.0000
Cl: 0.5000 0.5000 0.5000

Calculated values
space-group type	Pm-3m, No. 221
formation energy (no corrections)	3.40	eV per formula unit

First-principles (PBE) data for a relaxed structure of Pa2Si3Ni12Pd, as listed in the Alexandria database.

abc: 6.2906 6.2906 6.2906
angles: 83.97 83.97 83.97
Sites, in units of the cell vectors:
Pa: 0.1615 0.1615 0.1615
Pa: 0.8385 0.8385 0.8385
Si: 0.0000 0.5000 0.5000
Si: 0.5000 0.0000 0.5000
Si: 0.5000 0.5000 0.0000
Ni: 0.1153 0.1153 0.5959
Ni: 0.1153 0.5959 0.1153
Ni: 0.1850 0.6967 0.6967
Ni: 0.3033 0.3033 0.8150
Ni: 0.3033 0.8151 0.3033
Ni: 0.4041 0.8847 0.8847
Ni: 0.5959 0.1153 0.1153
Ni: 0.6967 0.1850 0.6967
Ni: 0.6967 0.6967 0.1850
Ni: 0.8151 0.3033 0.3033
Ni: 0.8847 0.4041 0.8847
Ni: 0.8847 0.8847 0.4041
Pd: 0.5000 0.5000 0.5000

Calculated values
space-group type	R-3m, No. 166
formation energy (no corrections)	-3.59	eV per formula unit